## K3Ta (PBE)

Data for K3Ta after structural relaxation.

Its space group is No. 221. As for the formation energy: 546 kJ/mol of formula units. Its total energy is -2.37 eV per atom. For the polymorph energy (0 for the lowest one), the calculation gives 2.545 eV per formula unit. Its density of states at the Fermi level is 1.491 states/eV per atom.

Lattice parameters (Å, degrees): 5.697 5.697 5.697 90.00 90.00 90.00
Fractional coordinates of all 4 atoms:
K (0.500, 0.000, 0.500)
K (0.500, 0.500, 0.000)
K (0.000, 0.500, 0.500)
Ta (0.000, 0.000, 0.000)